A relaxed structure of Rb3CuF5. Source: Alexandria via LeMat-Bulk, functional PBE-GGA.

Computed properties:
Energy above the most stable polymorph in this dataset, meV per atom: 62
N(E_F), states/eV per atom: 0.79
VASP energy, eV per atom: -4.101
Mass density, Mg/m³: 3.78

a = 7.577 Å, b = 7.577 Å, c = 12.707 Å
α = 90.00°, β = 90.00°, γ = 90.00°
Space group I4/mcm (No. 140)
One atom of each set of equivalent atoms:
Rb: 0.000 0.000 0.250 (multiplicity 4)
Rb: 0.175 0.325 0.000 (multiplicity 8)
Cu: 0.000 0.500 0.250 (multiplicity 4)
F: 0.000 0.000 0.000 (multiplicity 4)
F: 0.134 0.366 0.350 (multiplicity 16)